Here is YHfAu2 after structural relaxation from the Alexandria database. Energies are from PBE.

a = 3.0507 Å, b = 5.3874 Å, c = 11.5181 Å
α = 90.00°, β = 90.00°, γ = 90.00°
Last column: nearest neighbours and their distance in Å.
Space group Immm (No. 71)
One atom of each set of equivalent atoms:
Y: 0.0000 0.0000 0.0000 [2 per cell]  2 Y 3.05, 2 Au 3.08, 4 Hf 3.10
Hf: 0.0000 0.0000 0.5000 [2 per cell]  2 Au 2.68
Au: 0.0000 0.0000 0.2670 [4 per cell]  1 Hf 2.68

- crystal system = orthorhombic
- E above lowest polymorph (meV per atom) = 991

Here is Y2HfAu after structural relaxation from the Alexandria database. Energies are from PBE.

a = 8.3495 Å, b = 8.3495 Å, c = 6.1517 Å
α = 90.00°, β = 90.00°, γ = 90.00°
Last column: nearest neighbours and their distance in Å.
Space group I-42d (No. 122)
One atom of each set of equivalent atoms:
Y: 0.2055 0.2500 0.1250 [8 per cell]  2 Au 2.81
Hf: 0.0000 0.0000 0.5000 [4 per cell]  2 Au 3.08, 4 Y 3.32
Au: 0.0000 0.0000 0.0000 [4 per cell]  4 Y 2.81, 2 Hf 3.08

- crystal system = tetragonal
- E above lowest polymorph (meV per atom) = 385

Here is Y2HfAu after structural relaxation from the Alexandria database. Energies are from PBE.

a = 7.3413 Å, b = 7.3413 Å, c = 7.3413 Å
α = 90.00°, β = 90.00°, γ = 90.00°
Last column: nearest neighbours and their distance in Å.
Space group Fm-3m (No. 225)
One atom of each set of equivalent atoms:
Y: 0.2500 0.2500 0.2500 [8 per cell]  4 Hf 3.18, 4 Au 3.18
Hf: 0.0000 0.0000 0.0000 [4 per cell]  8 Y 3.18
Au: 0.0000 0.0000 0.5000 [4 per cell]  8 Y 3.18

- crystal system = cubic
- E above lowest polymorph (meV per atom) = 289

Here is YHf2Au after structural relaxation from the Alexandria database. Energies are from PBE.

a = 7.0134 Å, b = 7.0134 Å, c = 7.0134 Å
α = 90.00°, β = 90.00°, γ = 90.00°
Last column: nearest neighbours and their distance in Å.
Space group Fm-3m (No. 225)
One atom of each set of equivalent atoms:
Y: 0.0000 0.0000 0.0000 [4 per cell]  8 Hf 3.04
Hf: 0.2500 0.2500 0.2500 [8 per cell]  4 Au 3.04, 4 Y 3.04
Au: 0.0000 0.0000 0.5000 [4 per cell]  8 Hf 3.04

- crystal system = cubic
- E above lowest polymorph (meV per atom) = 11

Here is YHfZnAu after structural relaxation from the Alexandria database. Energies are from PBE.

a = 6.9590 Å, b = 6.9590 Å, c = 6.9590 Å
α = 90.00°, β = 90.00°, γ = 90.00°
Last column: nearest neighbours and their distance in Å.
Space group F-43m (No. 216)
One atom of each set of equivalent atoms:
Y: 0.0000 0.0000 0.0000 [4 per cell]  4 Zn 3.01, 4 Au 3.01
Hf: 0.0000 0.0000 0.5000 [4 per cell]  4 Au 3.01, 4 Zn 3.01
Zn: 0.2500 0.2500 0.2500 [4 per cell]  4 Hf 3.01, 4 Y 3.01
Au: 0.2500 0.2500 0.7500 [4 per cell]  4 Hf 3.01, 4 Y 3.01

- crystal system = cubic

Here is Hf3Zn8Au2 after structural relaxation from the Alexandria database. Energies are from PBE.

a = 5.0394 Å, b = 5.0394 Å, c = 30.8985 Å
α = 90.00°, β = 90.00°, γ = 120.00°
Last column: nearest neighbours and their distance in Å.
Space group R-3m (No. 166, hexagonal axes)
One atom of each set of equivalent atoms:
Hf: 0.0000 0.0000 0.0000 [3 per cell]  6 Au 3.00
Hf: 0.0000 0.0000 0.1827 [6 per cell]  10 Zn 2.83-2.96, 3 Hf 3.07
Zn: 0.0000 0.0000 0.2744 [6 per cell]  1 Au 2.55, 6 Zn 2.83, 1 Hf 2.83
Zn: 0.0009 0.5004 0.7671 [18 per cell]  4 Zn 2.51-2.53, 1 Au 2.79
Au: 0.0000 0.0000 0.3568 [6 per cell]  4 Zn 2.55-2.79

- crystal system = trigonal

Here is HfZn6Au6 after structural relaxation from the Alexandria database. Energies are from PBE.

a = 5.2412 Å, b = 5.2412 Å, c = 9.1143 Å
α = 90.00°, β = 90.00°, γ = 120.00°
Last column: nearest neighbours and their distance in Å.
Space group P6/mmm (No. 191)
One atom of each set of equivalent atoms:
Hf: 0.0000 0.0000 0.0000 [1 per cell]  8 Au 2.98-3.03
Zn: 0.0000 0.5000 0.2504 [6 per cell]  4 Zn 2.62, 6 Au 2.71-2.74
Au: 0.0000 0.0000 0.3265 [2 per cell]  6 Zn 2.71, 1 Hf 2.98
Au: 0.3333 0.6667 0.0000 [2 per cell]  6 Zn 2.74, 3 Hf 3.03, 3 Au 3.03
Au: 0.3333 0.6667 0.5000 [2 per cell]  6 Zn 2.73, 3 Au 3.03

- crystal system = hexagonal

Here is Hf4Zn3Au after structural relaxation from the Alexandria database. Energies are from PBE.

a = 3.2869 Å, b = 4.2069 Å, c = 10.9121 Å
α = 90.00°, β = 90.00°, γ = 90.00°
Last column: nearest neighbours and their distance in Å.
Space group Pmm2 (No. 25)
One atom of each set of equivalent atoms:
Hf: 0.0000 0.0000 0.0000 [1 per cell]  6 Zn 2.85-3.00, 1 Au 2.95
Hf: 0.0000 0.5000 0.3251 [1 per cell]  7 Zn 2.82-3.03
Hf: 0.5000 0.0000 0.4909 [1 per cell]  5 Zn 2.85, 2 Au 3.08
Hf: 0.5000 0.5000 0.8311 [1 per cell]  3 Zn 2.84-3.16, 4 Au 2.89
Zn: 0.0000 0.5000 0.5834 [1 per cell]  2 Au 2.64, 5 Hf 2.82-2.85
Zn: 0.5000 0.0000 0.2296 [1 per cell]  2 Zn 2.59, 5 Hf 2.85-2.87
Zn: 0.5000 0.5000 0.0917 [1 per cell]  2 Zn 2.59, 5 Hf 2.84-2.85
Au: 0.0000 0.0000 0.7295 [1 per cell]  2 Zn 2.64, 5 Hf 2.89-2.95

- crystal system = orthorhombic

Number 1: raw total energy -5.3716 eV/atom, magnetization 0.0 μB per cell. Number 2: raw total energy -6.4794 eV/atom, magnetization 3.2 μB per cell. Number 3: raw total energy -6.5752 eV/atom, magnetization 7.6 μB per cell. Number 4: raw total energy -7.3181 eV/atom, magnetization 0.0 μB per cell. Number 5: raw total energy -5.5967 eV/atom, magnetization 3.1 μB per cell. Number 6: raw total energy -3.6302 eV/atom, magnetization 4.0 μB per cell. Number 7: raw total energy -3.1134 eV/atom, magnetization 0.0 μB per cell. Number 8: raw total energy -6.1106 eV/atom, magnetization 0.0 μB per cell.